Material: BaMgZn2Ge
Method: DFT, PBE
State: optimized geometry

Calculated values
Density, Mg/m³: 5.08
Total DFT energy (no corrections), eV/atom: -2.374
Crystal system: tetragonal

abc: 4.563 4.563 11.473
angles: 90.00 90.00 90.00
Space group I4mm (No. 107)
Asymmetric unit:
Ba (0.000, 0.000, 0.000) [2 per cell]
Mg (0.000, 0.000, 0.377) [2 per cell]
Zn (0.000, 0.500, 0.241) [4 per cell]
Ge (0.000, 0.000, 0.620) [2 per cell]